Entry 1:
## Fe6Co10Ni (GGA-PBE)

Data for an optimized crystal structure of Fe6Co10Ni.

energy of formation: 0.08 eV per atom
density of states at the Fermi level: 0.93 states/eV/atom

Lattice parameters (Å, degrees): 4.8721 6.8839 6.8839 120.00 90.00 90.00
Sites, in units of the cell vectors:
1 Fe 0.6710 0.3374 0.3374
2 Fe 0.6710 0.0000 0.6626
3 Fe 0.6710 0.6626 0.0000
4 Fe 0.3290 0.6626 0.6626
5 Fe 0.3290 0.0000 0.3374
6 Fe 0.3290 0.3374 0.0000
7 Co 0.8336 0.6755 0.6755
8 Co 0.8336 0.0000 0.3245
9 Co 0.8336 0.3245 0.0000
10 Co 0.1664 0.3245 0.3245
11 Co 0.1664 0.0000 0.6755
12 Co 0.1664 0.6755 0.0000
13 Co 0.5000 0.3333 0.6667
14 Co 0.5000 0.6667 0.3333
15 Co 0.0000 0.6667 0.3333
16 Co 0.0000 0.3333 0.6667
17 Ni 0.5000 0.0000 0.0000


Entry 2:
## Li2CaPbF (GGA-PBE)

Data for an optimized crystal structure of Li2CaPbF.

density of states at the Fermi level: 0.22 states/eV/atom
formation energy (no corrections): -128.74 kJ per mole of atoms

Lattice parameters (Å, degrees): 4.6116 4.6116 4.6366 90.00 90.00 90.00
Sites, in units of the cell vectors:
1 Pb 0.5000 0.5000 0.5000
2 Ca 0.0000 0.0000 0.5000
3 Li 0.0000 0.5000 0.0000
4 Li 0.5000 0.0000 0.0000
5 F 0.0000 0.0000 0.0000